Crystalline NbCr3Ag2S8 at its relaxed geometry. Source: Alexandria, functional PBE.

The symmetry is P1.

a b c (Å): 6.487 7.630 12.828
angles (deg): 81.33 85.09 89.96
Element x y z (fractional)
Nb: 0.000 0.000 0.000
Nb: 0.204 0.842 0.585
Cr: 0.108 0.659 0.293
Cr: 0.519 0.260 0.011
Cr: 0.599 0.442 0.292
Cr: 0.721 0.601 0.575
Cr: 0.728 0.107 0.571
Cr: 0.977 0.493 0.010
Ag: 0.101 0.180 0.292
Ag: 0.251 0.388 0.582
Ag: 0.480 0.766 0.005
Ag: 0.601 0.932 0.292
S: 0.015 0.594 0.667
S: 0.045 0.090 0.639
S: 0.136 0.761 0.927
S: 0.190 0.271 0.949
S: 0.219 0.873 0.405
S: 0.267 0.416 0.385
S: 0.441 0.693 0.202
S: 0.472 0.235 0.183
S: 0.549 0.842 0.635
S: 0.597 0.332 0.646
S: 0.675 0.510 0.939
S: 0.680 0.044 0.930
S: 0.730 0.170 0.397
S: 0.770 0.629 0.396
S: 0.939 0.474 0.188
S: 0.979 0.934 0.181

=====

Crystalline NbCr3Ag2S8 at its relaxed geometry. Source: Alexandria, functional PBE.

The symmetry is Pmc2_1.

a b c (Å): 3.463 12.067 12.038
angles (deg): 90.00 90.00 90.00
Element x y z (fractional)
Nb: 0.000 0.029 0.000
Nb: 0.000 0.971 0.500
Cr: 0.000 0.341 0.562
Cr: 0.000 0.659 0.062
Cr: 0.500 0.182 0.760
Cr: 0.500 0.459 0.325
Cr: 0.500 0.541 0.825
Cr: 0.500 0.818 0.260
Ag: 0.000 0.169 0.299
Ag: 0.000 0.831 0.799
Ag: 0.500 0.343 0.045
Ag: 0.500 0.657 0.545
S: 0.000 0.136 0.622
S: 0.000 0.215 0.887
S: 0.000 0.370 0.224
S: 0.000 0.492 0.958
S: 0.000 0.508 0.458
S: 0.000 0.630 0.724
S: 0.000 0.785 0.387
S: 0.000 0.864 0.122
S: 0.500 0.004 0.351
S: 0.500 0.131 0.101
S: 0.500 0.295 0.437
S: 0.500 0.373 0.699
S: 0.500 0.627 0.199
S: 0.500 0.705 0.937
S: 0.500 0.869 0.601
S: 0.500 0.996 0.851

=====

Number 1: energy above the lowest structure with this stoichiometry 2.52 eV per formula unit. Number 2: energy above the lowest structure with this stoichiometry 1.53 eV per formula unit.